Compound: NbAsSe2Br
Source: Alexandria
Functional: meta-GGA SCAN
Structure: single point on PBEsol structure

abc: 4.9866 4.9866 4.9049
angles: 90.00 90.00 90.00
Closest atoms and distances in Å follow each position.
Element x y z (fractional)
Nb 0.0000 0.0000 0.0000  8 Se 3.50, 4 Br 3.53
As 0.5000 0.5000 0.5000  2 Br 2.45, 4 Se 2.49
Se 0.0000 0.5000 0.5000  2 As 2.49
Se 0.5000 0.0000 0.5000  2 As 2.49
Br 0.5000 0.5000 0.0000  2 As 2.45

Final energy, eV/cell: -109.9
Density of states at the Fermi level, states/eV per cell: 3.05
Excess energy over the best structure of this formula in the dataset, eV per atom: 0.000
Space group: No. 123